B2HPd6 | GGA-PBE | relaxed

Properties
Energy above the most stable polymorph in this dataset = 0.0000 eV per atom

Cell: 9.588 4.258 6.111 Å, 90.00 111.93 90.00°
Space group C2/m (No. 12)
Symmetry-distinct sites (fractional):
B (0.184, 0.000, 0.129) [4 per cell]
H (0.000, 0.000, 0.500) [2 per cell]
Pd (0.002, 0.000, 0.776) [4 per cell]
Pd (0.156, 0.500, 0.547) [4 per cell]
Pd (0.172, 0.500, 0.067) [4 per cell]

BH3Pd6 | GGA-PBE | relaxed

Properties
Energy above the most stable polymorph in this dataset = 0.0100 eV per atom

Cell: 8.999 2.904 9.405 Å, 90.00 118.36 90.00°
Space group P2_1/m (No. 11)
Symmetry-distinct sites (fractional):
B (0.242, 0.250, 0.090) [2 per cell]
H (0.004, 0.750, 0.302) [2 per cell]
H (0.321, 0.250, 0.483) [2 per cell]
H (0.357, 0.750, 0.769) [2 per cell]
Pd (0.070, 0.750, 0.917) [2 per cell]
Pd (0.093, 0.250, 0.430) [2 per cell]
Pd (0.232, 0.250, 0.765) [2 per cell]
Pd (0.252, 0.750, 0.265) [2 per cell]
Pd (0.417, 0.750, 0.080) [2 per cell]
Pd (0.426, 0.750, 0.611) [2 per cell]

B3HPd | GGA-PBE | relaxed

Properties
Energy above the most stable polymorph in this dataset = 0.0000 eV per atom

Cell: 3.376 3.376 3.376 Å, 90.00 90.00 90.00°
Space group Pm-3m (No. 221)
Symmetry-distinct sites (fractional):
B (0.000, 0.000, 0.500) [3 per cell]
H (0.000, 0.000, 0.000) [1 per cell]
Pd (0.500, 0.500, 0.500) [1 per cell]

BH3Pd6 | GGA-PBE | relaxed

Properties
Energy above the most stable polymorph in this dataset = 0.0000 eV per atom

Cell: 2.984 5.086 14.365 Å, 90.00 90.01 90.00°
Space group P2_1 (No. 4)
Symmetry-distinct sites (fractional):
B (0.250, 0.000, 0.248) [2 per cell]
H (0.250, 0.358, 0.455) [2 per cell]
H (0.250, 0.637, 0.046) [2 per cell]
H (0.252, 0.010, 0.737) [2 per cell]
Pd (0.250, 0.018, 0.500) [2 per cell]
Pd (0.250, 0.323, 0.836) [2 per cell]
Pd (0.250, 0.668, 0.333) [2 per cell]
Pd (0.250, 0.670, 0.665) [2 per cell]
Pd (0.250, 0.978, 0.000) [2 per cell]
Pd (0.251, 0.327, 0.165) [2 per cell]

BH2Pd2 | GGA-PBE | relaxed

Properties
Energy above the most stable polymorph in this dataset = 0.0984 eV per atom

Cell: 2.867 2.867 10.503 Å, 90.00 90.00 90.00°
Space group I4/mmm (No. 139)
Symmetry-distinct sites (fractional):
B (0.000, 0.000, 0.000) [2 per cell]
H (0.000, 0.500, 0.250) [4 per cell]
Pd (0.000, 0.000, 0.373) [4 per cell]

BH4Pd | GGA-PBE | relaxed

Cell: 4.432 4.432 4.987 Å, 90.00 90.00 90.00°
Space group I-4 (No. 82)
Symmetry-distinct sites (fractional):
B (0.000, 0.000, 0.000) [2 per cell]
H (0.150, 0.818, 0.852) [8 per cell]
Pd (0.000, 0.500, 0.250) [2 per cell]

E in Ry per atom, matching the order above: -0.400 -0.362 -0.316 -0.362 -0.327 -0.296